## PRu (PBE)

Data for a geometry-optimized PRu structure.

a b c (Å): 6.156 6.156 3.902
angles (deg): 90.00 90.00 90.00
Positions (direct):
1 P 0.301 0.699 0.000
2 P 0.801 0.801 0.500
3 P 0.199 0.199 0.500
4 P 0.699 0.301 0.000
5 Ru 0.331 0.331 0.000
6 Ru 0.831 0.169 0.500
7 Ru 0.169 0.831 0.500
8 Ru 0.669 0.669 0.000

Summary:
Its formation energy from the elements is -0.13 eV/atom. As for the space group: P4_2/mnm.

***

## Th2NbCrN6 (PBE)

Data for a geometry-optimized Th2NbCrN6 structure.

a b c (Å): 4.606 5.472 5.472
angles (deg): 90.00 90.00 90.00
Positions (direct):
1 Th 0.010 0.500 0.000
2 Th 0.010 0.000 0.500
3 Nb 0.585 0.500 0.500
4 Cr 0.583 0.000 0.000
5 N 0.715 0.242 0.242
6 N 0.715 0.242 0.758
7 N 0.174 0.500 0.500
8 N 0.224 0.000 0.000
9 N 0.715 0.758 0.758
10 N 0.715 0.758 0.242

Summary:
The value obtained for the uncorrected formation energy is -1.072 eV per atom. As for the space group: P4mm.

***

## BiSBrO4 (PBE)

Data for a geometry-optimized BiSBrO4 structure.

a b c (Å): 6.357 6.357 6.676
angles (deg): 78.04 78.04 68.11
Positions (direct):
1 Bi 0.216 0.216 0.860
2 Bi 0.784 0.784 0.140
3 S 0.643 0.643 0.738
4 S 0.357 0.357 0.262
5 Br 0.024 0.024 0.246
6 Br 0.976 0.976 0.754
7 O 0.276 0.276 0.477
8 O 0.724 0.724 0.523
9 O 0.149 0.480 0.145
10 O 0.496 0.496 0.245
11 O 0.520 0.851 0.855
12 O 0.480 0.149 0.145
13 O 0.504 0.504 0.755
14 O 0.851 0.520 0.855

Summary:
The value obtained for the uncorrected formation energy is -1.191 eV per atom. As for the space group: C2/m.

***

## LiScSnRh (PBE)

Data for a geometry-optimized LiScSnRh structure.

a b c (Å): 4.581 4.581 4.581
angles (deg): 60.00 60.00 60.00
Positions (direct):
1 Sc 0.000 0.000 0.000
2 Rh 0.750 0.750 0.750
3 Sn 0.500 0.500 0.500
4 Li 0.250 0.250 0.250

Summary:
Its formation energy from the elements is -0.75 eV/atom. As for the space group: F-43m.

***

## Ca2AcNd4 (PBE)

Data for a geometry-optimized Ca2AcNd4 structure.

a b c (Å): 3.675 5.602 13.211
angles (deg): 102.24 90.00 90.00
Positions (direct):
1 Ca 0.500 0.212 0.423
2 Ca 0.500 0.788 0.577
3 Nd 0.500 0.072 0.145
4 Nd 0.000 0.357 0.714
5 Nd 0.500 0.928 0.855
6 Nd 0.000 0.643 0.286
7 Ac 0.000 0.500 0.000

Summary:
Its formation energy from the elements is 0.08 eV/atom. As for the space group: Cmmm.

***

## Zr2VAg (PBE)

Data for a geometry-optimized Zr2VAg structure.

a b c (Å): 4.806 4.806 4.806
angles (deg): 60.00 60.00 60.00
Positions (direct):
1 Zr 0.250 0.250 0.250
2 Zr 0.750 0.750 0.750
3 Ag 0.500 0.500 0.500
4 V 0.000 0.000 0.000

Summary:
Its formation energy from the elements is 0.13 eV/atom. As for the space group: Fm-3m.

***

## TbThZr2 (PBE)

Data for a geometry-optimized TbThZr2 structure.

a b c (Å): 3.376 3.376 11.174
angles (deg): 81.30 81.30 60.13
Positions (direct):
1 Tb 0.669 0.669 0.999
2 Th 0.502 0.502 0.500
3 Zr 0.081 0.081 0.750
4 Zr 0.248 0.248 0.251

Summary:
Its formation energy from the elements is 0.14 eV/atom. As for the space group: Cm.

***

## FeRu2Se (PBE)

Data for a geometry-optimized FeRu2Se structure.

a b c (Å): 5.357 5.357 6.522
angles (deg): 65.75 65.75 90.00
Positions (direct):
1 Ru 0.598 0.125 0.250
2 Ru 0.152 0.625 0.250
3 Ru 0.375 0.402 0.750
4 Ru 0.875 0.848 0.750
5 Fe 0.500 0.500 0.000
6 Fe 0.250 0.750 0.500
7 Se 0.000 0.000 0.000
8 Se 0.750 0.250 0.500

Summary:
The value obtained for the uncorrected formation energy is 0.680 eV per atom. As for the space group: I-42d.

***

## La8FePd2 (PBE)

Data for a geometry-optimized La8FePd2 structure.

a b c (Å): 7.258 7.496 7.498
angles (deg): 88.19 118.95 90.00
Positions (direct):
1 Fe 0.000 0.000 0.000
2 Pd 0.108 0.443 0.216
3 Pd 0.892 0.557 0.784
4 La 0.703 0.242 0.920
5 La 0.217 0.242 0.920
6 La 0.297 0.758 0.080
7 La 0.698 0.405 0.397
8 La 0.783 0.758 0.080
9 La 0.207 0.094 0.414
10 La 0.793 0.906 0.586
11 La 0.302 0.595 0.603

Summary:
Its formation energy from the elements is -0.23 eV/atom. As for the space group: C2/m.

***

## Dy4CuIr2 (PBE)

Data for a geometry-optimized Dy4CuIr2 structure.

a b c (Å): 4.833 4.833 8.379
angles (deg): 73.24 73.24 60.00
Positions (direct):
1 Ir 0.749 0.749 0.754
2 Ir 0.251 0.251 0.246
3 Cu 0.000 0.000 0.000
4 Dy 0.874 0.874 0.379
5 Dy 0.126 0.126 0.621
6 Dy 0.623 0.623 0.131
7 Dy 0.377 0.377 0.869

Summary:
Its formation energy from the elements is -0.65 eV/atom. As for the space group: R-3m.

***

## CaTa2Se (PBE)

Data for a geometry-optimized CaTa2Se structure.

a b c (Å): 6.066 6.066 6.066
angles (deg): 141.94 141.94 54.92
Positions (direct):
1 Ca 0.250 0.750 0.500
2 Se 0.750 0.250 0.500
3 Ta 0.000 0.000 0.000
4 Ta 0.500 0.500 0.000

Summary:
The value obtained for the uncorrected formation energy is 0.278 eV per atom. As for the space group: I4/mmm.

***

## LaAsW2 (PBE)

Data for a geometry-optimized LaAsW2 structure.

a b c (Å): 5.641 5.641 5.641
angles (deg): 145.42 122.06 69.26
Positions (direct):
1 As 0.470 0.470 0.000
2 W 0.040 0.040 0.000
3 W 0.244 0.744 0.500
4 La 0.745 0.245 0.500

Summary:
Its formation energy from the elements is 0.53 eV/atom. As for the space group: Imm2.

***

In order of appearance, volume = 148 138 242 68 266 78 109 152 357 160 84 85 Å³ per cell.
In order of appearance, M_tot = 0.0 0.9 0.0 0.0 0.0 1.9 0.0 0.0 0.0 0.0 0.0 0.0 μB/cell.